Record 1
Material: LaSmSiAg
Method: DFT, GGA-PBE
State: relaxed

Unit cell a=7.4121 b=7.4121 c=7.4121 alpha=90.00 beta=90.00 gamma=90.00
Closest atoms and distances in Å follow each position.
Space group F-43m (No. 216)
Asymmetric unit:
La  0.0000  0.0000  0.0000 x4  4 Ag 3.21, 4 Si 3.21
Sm  0.0000  0.0000  0.5000 x4  4 Si 3.21, 4 Ag 3.21
Si  0.2500  0.2500  0.7500 x4  4 La 3.21, 4 Sm 3.21
Ag  0.2500  0.2500  0.2500 x4  4 Sm 3.21, 4 La 3.21

**Density**: 6.94 g/cm3
**D(E_F)**: 16.8 states/eV/cell
**Calculated total energy**: -4.90 eV per atom
**Formation energy without anion corrections**: -0.424 eV/atom

---

Record 2
Material: LaTaSiAg2
Method: DFT, GGA-PBE
State: relaxed

Unit cell a=4.7990 b=4.7990 c=4.9796 alpha=90.00 beta=90.00 gamma=90.00
Closest atoms and distances in Å follow each position.
Space group P4/mmm (No. 123)
Asymmetric unit:
La  0.0000  0.0000  0.0000 x1  4 Ta 3.39, 8 Ag 3.46
Ta  0.5000  0.5000  0.0000 x1  2 Si 2.49
Si  0.5000  0.5000  0.5000 x1  4 Ag 2.40, 2 Ta 2.49
Ag  0.0000  0.5000  0.5000 x2  2 Si 2.40

**Density**: 8.16 g/cm3
**D(E_F)**: 4.3 states/eV/cell
**Calculated total energy**: -5.29 eV per atom
**Formation energy without anion corrections**: 0.287 eV/atom

---

Record 3
Material: LaTbSiAg
Method: DFT, GGA-PBE
State: relaxed

Unit cell a=7.3546 b=7.3546 c=7.3546 alpha=90.00 beta=90.00 gamma=90.00
Closest atoms and distances in Å follow each position.
Space group F-43m (No. 216)
Asymmetric unit:
La  0.0000  0.0000  0.0000 x4  4 Ag 3.18, 4 Si 3.18
Tb  0.0000  0.0000  0.5000 x4  4 Si 3.18, 4 Ag 3.18
Si  0.2500  0.2500  0.2500 x4  4 Tb 3.18, 4 La 3.18
Ag  0.2500  0.2500  0.7500 x4  4 Tb 3.18, 4 La 3.18

**Density**: 7.24 g/cm3
**D(E_F)**: 15.7 states/eV/cell
**Calculated total energy**: -4.88 eV per atom
**Formation energy without anion corrections**: -0.426 eV/atom

---

Record 4
Material: LaSiTcAg2
Method: DFT, GGA-PBE
State: relaxed

Unit cell a=5.3105 b=5.3105 c=5.3129 alpha=90.00 beta=90.00 gamma=90.00
Closest atoms and distances in Å follow each position.
Space group P4/mmm (No. 123)
Asymmetric unit:
La  0.0000  0.0000  0.0000 x1  4 Ag 2.66, 2 Si 2.66
Si  0.0000  0.0000  0.5000 x1  2 La 2.66
Tc  0.5000  0.5000  0.5000 x1  4 Si 3.76, 8 Ag 3.76
Ag  0.0000  0.5000  0.0000 x2  2 La 2.66

**Density**: 5.33 g/cm3
**D(E_F)**: 5.4 states/eV/cell
**Calculated total energy**: -3.26 eV per atom
**Formation energy without anion corrections**: 2.028 eV/atom

---

Record 5
Material: LaTmSiAg
Method: DFT, GGA-PBE
State: relaxed

Unit cell a=7.2958 b=7.2958 c=7.2958 alpha=90.00 beta=90.00 gamma=90.00
Closest atoms and distances in Å follow each position.
Space group F-43m (No. 216)
Asymmetric unit:
La  0.0000  0.0000  0.0000 x4  4 Si 3.16, 4 Ag 3.16
Tm  0.0000  0.0000  0.5000 x4  4 Ag 3.16, 4 Si 3.16
Si  0.2500  0.2500  0.7500 x4  4 La 3.16, 4 Tm 3.16
Ag  0.2500  0.2500  0.2500 x4  4 La 3.16, 4 Tm 3.16

**Density**: 7.59 g/cm3
**D(E_F)**: 13.5 states/eV/cell
**Calculated total energy**: -4.83 eV per atom
**Formation energy without anion corrections**: -0.413 eV/atom

---

Record 6
Material: La2Zn4Si3Ag
Method: DFT, GGA-PBE
State: relaxed

Unit cell a=4.2606 b=4.2606 c=10.6025 alpha=90.00 beta=90.00 gamma=90.00
Closest atoms and distances in Å follow each position.
Space group P-4m2 (No. 115)
Asymmetric unit:
La  0.0000  0.5000  0.2439 x2  6 Si 3.23-3.45, 8 Zn 3.27-3.35, 2 Ag 3.45
Zn  0.0000  0.0000  0.0000 x1  4 Si 2.56
Zn  0.0000  0.5000  0.6362 x2  3 Si 2.43-2.57, 2 Ag 2.57
Zn  0.5000  0.5000  0.0000 x1  4 Si 2.56
Si  0.0000  0.5000  0.8657 x2  5 Zn 2.43-2.56
Si  0.5000  0.5000  0.5000 x1  4 Zn 2.57
Ag  0.0000  0.0000  0.5000 x1  4 Zn 2.57

**Density**: 6.31 g/cm3
**D(E_F)**: 3.5 states/eV/cell
**Calculated total energy**: -3.82 eV per atom
**Formation energy without anion corrections**: -0.412 eV/atom

---

Q: What is the calculated total energy in the first record?
A: -4.90 eV per atom